VASP calculation (PBE) on IrSe2Br after structural relaxation.

The volume is 185.26 Å³ per cell. Its formation energy from raw total energies is 0.8763 eV per atom. The calculation puts the offset from the most stable computed form at 106.60 kJ/mol of atoms.

The space group is Cmmm (No. 65) and the conventional cell measures 5.1583, 13.5324 and 2.6541 Å, with angles of 90.00, 90.00 and 90.00 degrees. The distinct sites, in fractional coordinates, are Ir at (0.0000, 0.0000, 0.0000), Se at (0.2500, 0.2500, 0.5000) and Br at (0.0000, 0.5000, 0.0000).


VASP calculation (PBE) on Sm6Y2Tm3 after structural relaxation.

As for the energy of formation: 302 meV/atom. The volume is 754.25 Å³ per cell. The calculation puts the offset from the most stable computed form at 21.54 kJ/mol of atoms.

The space group is I4/mmm (No. 139) and the conventional cell measures 4.7348, 4.7348 and 33.6442 Å, with angles of 90.00, 90.00 and 90.00 degrees. The distinct sites, in fractional coordinates, are Sm at (0.0000, 0.0000, 0.2006), Sm at (0.0000, 0.5000, 0.1218), Y at (0.0000, 0.0000, 0.0457), Tm at (0.0000, 0.0000, 0.3022) and Tm at (0.0000, 0.0000, 0.5000).


VASP calculation (PBE) on TiHgAs2Se after structural relaxation.

The volume is 121.63 Å³ per cell. Its formation energy from raw total energies is -0.0028 eV per atom. The calculation puts the offset from the most stable computed form at 0.00 kJ/mol of atoms.

The space group is P4/mmm (No. 123) and the conventional cell measures 4.9863, 4.9863 and 4.8920 Å, with angles of 90.00, 90.00 and 90.00 degrees. The distinct sites, in fractional coordinates, are Ti at (0.0000, 0.0000, 0.0000), Hg at (0.5000, 0.5000, 0.5000), As at (0.0000, 0.5000, 0.0000) and Se at (0.0000, 0.0000, 0.5000).


VASP calculation (PBE) on CaSiMo2 after structural relaxation.

The volume is 75.64 Å³ per cell. Its formation energy from raw total energies is 0.1563 eV per atom.

The space group is P4/mmm (No. 123) and the conventional cell measures 3.3679, 3.3679 and 6.6686 Å, with angles of 90.00, 90.00 and 90.00 degrees. The distinct sites, in fractional coordinates, are Ca at (0.0000, 0.0000, 0.0000), Si at (0.0000, 0.0000, 0.5000) and Mo at (0.5000, 0.5000, 0.3274).


VASP calculation (PBE) on CaGaRh2I after structural relaxation.

The volume is 124.69 Å³ per cell. Its formation energy from raw total energies is 0.1783 eV per atom.

The space group is P4/mmm (No. 123) and the conventional cell measures 4.6595, 4.6595 and 5.7433 Å, with angles of 90.00, 90.00 and 90.00 degrees. The distinct sites, in fractional coordinates, are Ca at (0.0000, 0.0000, 0.0000), Ga at (0.5000, 0.5000, 0.5000), Rh at (0.0000, 0.5000, 0.5000) and I at (0.5000, 0.5000, 0.0000).


VASP calculation (PBE) on LaSm6Co3 after structural relaxation.

As for the energy of formation: 19 meV/atom. The volume is 1086.98 Å³ per cell.

The space group is Cmc2_1 (No. 36) and the conventional cell measures 11.7698, 12.4226 and 7.4343 Å, with angles of 90.00, 90.00 and 90.00 degrees. The distinct sites, in fractional coordinates, are La at (0.0000, 0.1833, 0.0000), Sm at (0.0000, 0.1664, 0.4990), Sm at (0.0000, 0.4997, 0.2488), Sm at (0.2183, 0.0013, 0.4996), Sm at (0.2494, 0.2501, 0.7493), Co at (0.0000, 0.0007, 0.7499) and Co at (0.1087, 0.3611, 0.4988).